(1)
Compound: HfFeSiOs
Source: OQMD
Functional: PBE
Structure: optimized geometry

```
4
Lattice="0.000 3.117 3.117 3.117 0.000 3.117 3.117 3.117 0.000" Properties=species:S:1:pos:R:3 pbc="T T T"
Hf 0.000 0.000 0.000
Fe 3.117 3.117 3.117
Si 1.558 1.558 1.558
Os 4.675 4.675 4.675
```

Energy relative to the lowest polymorph listed for this composition: 487 meV per atom
Final energy: -8.716 eV/atom
Space-group type: No. 216



(2)
Compound: HfFeSiOs
Source: OQMD
Functional: PBE
Structure: optimized geometry

```
4
Lattice="0.000 3.041 3.041 3.041 0.000 3.041 3.041 3.041 0.000" Properties=species:S:1:pos:R:3 pbc="T T T"
Hf 0.000 0.000 0.000
Fe 4.562 4.562 4.562
Si 3.041 3.041 3.041
Os 1.521 1.521 1.521
```

Energy relative to the lowest polymorph listed for this composition: 0 meV per atom
Final energy: -9.203 eV/atom
Space-group type: No. 216



(3)
Compound: HfTlFeOs
Source: OQMD
Functional: PBE
Structure: optimized geometry

```
4
Lattice="0.000 3.226 3.226 3.226 0.000 3.226 3.226 3.226 0.000" Properties=species:S:1:pos:R:3 pbc="T T T"
Hf 0.000 0.000 0.000
Tl 3.226 3.226 3.226
Fe 4.839 4.839 4.839
Os 1.613 1.613 1.613
```

Energy relative to the lowest polymorph listed for this composition: 0 meV per atom
Final energy: -7.741 eV/atom
Space-group type: No. 216



(4)
Compound: HfTlFeOs
Source: OQMD
Functional: PBE
Structure: optimized geometry

```
4
Lattice="0.000 3.243 3.243 3.243 0.000 3.243 3.243 3.243 0.000" Properties=species:S:1:pos:R:3 pbc="T T T"
Hf 0.000 0.000 0.000
Tl 1.622 1.622 1.622
Fe 3.243 3.243 3.243
Os 4.865 4.865 4.865
```

Energy relative to the lowest polymorph listed for this composition: 186 meV per atom
Final energy: -7.555 eV/atom
Space-group type: No. 216



(5)
Compound: HfZnFeOs
Source: OQMD
Functional: PBE
Structure: optimized geometry

```
4
Lattice="0.000 3.108 3.108 3.108 0.000 3.108 3.108 3.108 0.000" Properties=species:S:1:pos:R:3 pbc="T T T"
Hf 0.000 0.000 0.000
Zn 3.108 3.108 3.108
Fe 4.662 4.662 4.662
Os 1.554 1.554 1.554
```

Energy relative to the lowest polymorph listed for this composition: 0 meV per atom
Final energy: -7.758 eV/atom
Energy relative to the elements: -7 kJ/mol of atoms
Space-group type: No. 216



(6)
Compound: HfZnFeOs
Source: OQMD
Functional: PBE
Structure: optimized geometry

```
4
Lattice="0.000 3.143 3.143 3.143 0.000 3.143 3.143 3.143 0.000" Properties=species:S:1:pos:R:3 pbc="T T T"
Hf 0.000 0.000 0.000
Zn 1.572 1.572 1.572
Fe 3.143 3.143 3.143
Os 4.715 4.715 4.715
```

Energy relative to the lowest polymorph listed for this composition: 81 meV per atom
Final energy: -7.677 eV/atom
Energy relative to the elements: 1 kJ/mol of atoms
Space-group type: No. 216



(7)
Compound: HfFe4P2
Source: OQMD
Functional: PBE
Structure: optimized geometry

```
14
Lattice="6.820 0.000 0.000 0.000 6.820 0.000 0.000 0.000 3.615" Properties=species:S:1:pos:R:3 pbc="T T T"
Hf 0.000 0.000 0.000
Hf 3.410 3.410 1.807
Fe 0.584 2.321 1.807
Fe 1.089 3.994 0.000
Fe 2.321 0.584 1.807
Fe 2.826 5.731 0.000
Fe 3.994 1.089 0.000
Fe 4.499 6.236 1.807
Fe 5.731 2.826 0.000
Fe 6.236 4.499 1.807
P 1.482 5.338 1.807
P 1.928 1.928 0.000
P 4.892 4.892 0.000
P 5.338 1.482 1.807
```

Final energy: -8.397 eV/atom
Space-group type: No. 136



(8)
Compound: HfPa2Fe4
Source: OQMD
Functional: PBE
Structure: optimized geometry

```
7
Lattice="-2.289 2.289 6.419 2.289 -2.289 6.419 2.289 2.289 -6.419" Properties=species:S:1:pos:R:3 pbc="T T T"
Hf 0.000 0.000 0.000
Pa 0.000 0.000 4.596
Pa 0.000 0.000 8.241
Fe 2.289 0.000 0.000
Fe 0.000 0.000 2.502
Fe 0.000 2.289 0.000
Fe 0.000 0.000 10.335
```

Final energy: -8.394 eV/atom
Energy relative to the elements: 47 kJ/mol of atoms
Space-group type: No. 139



(9)
Compound: Hf5FePb3
Source: OQMD
Functional: PBE
Structure: optimized geometry

```
18
Lattice="8.773 0.000 0.000 -4.386 7.597 0.000 0.000 0.000 5.832" Properties=species:S:1:pos:R:3 pbc="T T T"
Hf -1.029 1.782 1.458
Hf -3.357 5.815 4.374
Hf 2.058 0.000 1.458
Hf 1.029 1.782 4.374
Hf 0.000 5.065 0.000
Hf 0.000 5.065 2.916
Hf 4.386 2.532 0.000
Hf 4.386 2.532 2.916
Hf 6.715 0.000 4.374
Hf 3.357 5.815 1.458
Fe 0.000 0.000 0.000
Fe 0.000 0.000 2.916
Pb -1.764 3.054 4.374
Pb -2.623 4.543 1.458
Pb 3.527 0.000 4.374
Pb 1.764 3.054 1.458
Pb 5.246 0.000 1.458
Pb 2.623 4.543 4.374
```

Final energy: -7.790 eV/atom
Space-group type: No. 193



(10)
Compound: Hf2FePb
Source: OQMD
Functional: PBE
Structure: optimized geometry

```
4
Lattice="0.000 3.371 3.371 3.371 0.000 3.371 3.371 3.371 0.000" Properties=species:S:1:pos:R:3 pbc="T T T"
Hf 0.000 0.000 0.000
Hf 1.686 1.686 1.686
Fe 5.057 5.057 5.057
Pb 3.371 3.371 3.371
```

Final energy: -7.559 eV/atom
Space-group type: No. 216



(11)
Compound: HfFePb2
Source: OQMD
Functional: PBE
Structure: optimized geometry

```
4
Lattice="0.000 3.498 3.498 3.498 0.000 3.498 3.498 3.498 0.000" Properties=species:S:1:pos:R:3 pbc="T T T"
Hf 0.000 0.000 0.000
Fe 1.749 1.749 1.749
Pb 3.498 3.498 3.498
Pb 5.247 5.247 5.247
```

Energy relative to the lowest polymorph listed for this composition: 0 meV per atom
Final energy: -5.831 eV/atom
Space-group type: No. 216



(12)
Compound: HfFePtPb
Source: OQMD
Functional: PBE
Structure: optimized geometry

```
4
Lattice="0.000 3.281 3.281 3.281 0.000 3.281 3.281 3.281 0.000" Properties=species:S:1:pos:R:3 pbc="T T T"
Hf 0.000 0.000 0.000
Fe 3.281 3.281 3.281
Pt 4.922 4.922 4.922
Pb 1.641 1.641 1.641
```

Energy relative to the lowest polymorph listed for this composition: 171 meV per atom
Final energy: -7.006 eV/atom
Space-group type: No. 216



(13)
Compound: HfFePtPb
Source: OQMD
Functional: PBE
Structure: optimized geometry

```
4
Lattice="0.000 3.298 3.298 3.298 0.000 3.298 3.298 3.298 0.000" Properties=species:S:1:pos:R:3 pbc="T T T"
Hf 0.000 0.000 0.000
Fe 4.948 4.948 4.948
Pt 1.649 1.649 1.649
Pb 3.298 3.298 3.298
```

Energy relative to the lowest polymorph listed for this composition: 0 meV per atom
Final energy: -7.177 eV/atom
Space-group type: No. 216



(14)
Compound: HfScFePb
Source: OQMD
Functional: PBE
Structure: optimized geometry

```
4
Lattice="0.000 3.335 3.335 3.335 0.000 3.335 3.335 3.335 0.000" Properties=species:S:1:pos:R:3 pbc="T T T"
Hf 0.000 0.000 0.000
Sc 1.667 1.667 1.667
Fe 5.002 5.002 5.002
Pb 3.335 3.335 3.335
```

Energy relative to the lowest polymorph listed for this composition: 0 meV per atom
Final energy: -6.896 eV/atom
Space-group type: No. 216



(15)
Compound: HfFePbW
Source: OQMD
Functional: PBE
Structure: optimized geometry

```
4
Lattice="0.000 3.280 3.280 3.280 0.000 3.280 3.280 3.280 0.000" Properties=species:S:1:pos:R:3 pbc="T T T"
Hf 0.000 0.000 0.000
Fe 4.920 4.920 4.920
Pb 3.280 3.280 3.280
W 1.640 1.640 1.640
```

Energy relative to the lowest polymorph listed for this composition: 0 meV per atom
Final energy: -8.156 eV/atom
Space-group type: No. 216



(16)
Compound: HfFePd2
Source: OQMD
Functional: PBE
Structure: optimized geometry

```
4
Lattice="0.000 3.154 3.154 3.154 0.000 3.154 3.154 3.154 0.000" Properties=species:S:1:pos:R:3 pbc="T T T"
Hf 0.000 0.000 0.000
Fe 4.731 4.731 4.731
Pd 1.577 1.577 1.577
Pd 3.154 3.154 3.154
```

Final energy: -7.472 eV/atom
Energy relative to the elements: -31 kJ/mol of atoms
Space-group type: No. 216



(17)
Compound: HfFePd
Source: OQMD
Functional: PBE
Structure: optimized geometry

```
3
Lattice="0.000 3.009 3.009 3.009 0.000 3.009 3.009 3.009 0.000" Properties=species:S:1:pos:R:3 pbc="T T T"
Hf 0.000 0.000 0.000
Fe 4.513 4.513 4.513
Pd 1.504 1.504 1.504
```

Final energy: -7.476 eV/atom
Energy relative to the elements: 33 kJ/mol of atoms
Space-group type: No. 216



(18)
Compound: HfFePd
Source: OQMD
Functional: PBE
Structure: optimized geometry

```
3
Lattice="0.000 2.972 2.972 2.972 0.000 2.972 2.972 2.972 0.000" Properties=species:S:1:pos:R:3 pbc="T T T"
Hf 0.000 0.000 0.000
Fe 1.486 1.486 1.486
Pd 2.972 2.972 2.972
```

Final energy: -7.721 eV/atom
Energy relative to the elements: 9 kJ/mol of atoms
Space-group type: No. 216



(19)
Compound: HfFeSiPd
Source: OQMD
Functional: PBE
Structure: optimized geometry

```
4
Lattice="0.000 3.091 3.091 3.091 0.000 3.091 3.091 3.091 0.000" Properties=species:S:1:pos:R:3 pbc="T T T"
Hf 0.000 0.000 0.000
Fe 4.636 4.636 4.636
Si 3.091 3.091 3.091
Pd 1.545 1.545 1.545
```

Energy relative to the lowest polymorph listed for this composition: 0 meV per atom
Final energy: -7.657 eV/atom
Space-group type: No. 216



(20)
Compound: HfFeSiPd
Source: OQMD
Functional: PBE
Structure: optimized geometry

```
4
Lattice="0.000 3.139 3.139 3.139 0.000 3.139 3.139 3.139 0.000" Properties=species:S:1:pos:R:3 pbc="T T T"
Hf 0.000 0.000 0.000
Fe 3.139 3.139 3.139
Si 1.569 1.569 1.569
Pd 4.708 4.708 4.708
```

Energy relative to the lowest polymorph listed for this composition: 151 meV per atom
Final energy: -7.506 eV/atom
Space-group type: No. 216



(21)
Compound: HfZn2FePd4
Source: OQMD
Functional: PBE
Structure: optimized geometry

```
8
Lattice="4.336 0.000 0.000 0.000 4.336 0.000 0.000 0.000 6.392" Properties=species:S:1:pos:R:3 pbc="T T T"
Hf 0.000 0.000 0.000
Zn 0.000 0.000 3.196
Zn 2.168 2.168 0.000
Fe 2.168 2.168 3.196
Pd 0.000 2.168 1.676
Pd 0.000 2.168 4.715
Pd 2.168 0.000 1.676
Pd 2.168 0.000 4.715
```

Final energy: -5.664 eV/atom
Energy relative to the elements: -46 kJ/mol of atoms
Space-group type: No. 123



(22)
Compound: PrHfFe
Source: OQMD
Functional: PBE
Structure: optimized geometry

```
3
Lattice="0.000 3.248 3.248 3.248 0.000 3.248 3.248 3.248 0.000" Properties=species:S:1:pos:R:3 pbc="T T T"
Pr 0.000 0.000 0.000
Hf 3.248 3.248 3.248
Fe 4.873 4.873 4.873
```

Final energy: -7.341 eV/atom
Energy relative to the elements: 33 kJ/mol of atoms
Space-group type: No. 216



(23)
Compound: HfFePt2
Source: OQMD
Functional: PBE
Structure: optimized geometry

```
4
Lattice="0.000 3.173 3.173 3.173 0.000 3.173 3.173 3.173 0.000" Properties=species:S:1:pos:R:3 pbc="T T T"
Hf 0.000 0.000 0.000
Fe 4.760 4.760 4.760
Pt 1.587 1.587 1.587
Pt 3.173 3.173 3.173
```

Final energy: -8.106 eV/atom
Energy relative to the elements: -49 kJ/mol of atoms
Space-group type: No. 216



(24)
Compound: HfFePt2
Source: OQMD
Functional: PBE
Structure: optimized geometry

```
4
Lattice="0.000 3.174 3.174 3.174 0.000 3.174 3.174 3.174 0.000" Properties=species:S:1:pos:R:3 pbc="T T T"
Hf 0.000 0.000 0.000
Fe 1.587 1.587 1.587
Pt 3.174 3.174 3.174
Pt 4.761 4.761 4.761
```

Final energy: -8.106 eV/atom
Energy relative to the elements: -49 kJ/mol of atoms
Space-group type: No. 216



(25)
Compound: HfFeSbPt
Source: OQMD
Functional: PBE
Structure: optimized geometry

```
4
Lattice="0.000 3.245 3.245 3.245 0.000 3.245 3.245 3.245 0.000" Properties=species:S:1:pos:R:3 pbc="T T T"
Hf 0.000 0.000 0.000
Fe 4.867 4.867 4.867
Sb 3.245 3.245 3.245
Pt 1.622 1.622 1.622
```

Energy relative to the lowest polymorph listed for this composition: 0 meV per atom
Final energy: -7.416 eV/atom
Space-group type: No. 216



(26)
Compound: HfFeSbPt
Source: OQMD
Functional: PBE
Structure: optimized geometry

```
4
Lattice="0.000 3.252 3.252 3.252 0.000 3.252 3.252 3.252 0.000" Properties=species:S:1:pos:R:3 pbc="T T T"
Hf 0.000 0.000 0.000
Fe 3.252 3.252 3.252
Sb 1.626 1.626 1.626
Pt 4.877 4.877 4.877
```

Energy relative to the lowest polymorph listed for this composition: 104 meV per atom
Final energy: -7.312 eV/atom
Space-group type: No. 216



(27)
Compound: HfFeSiPt
Source: OQMD
Functional: PBE
Structure: optimized geometry

```
4
Lattice="0.000 3.108 3.108 3.108 0.000 3.108 3.108 3.108 0.000" Properties=species:S:1:pos:R:3 pbc="T T T"
Hf 0.000 0.000 0.000
Fe 4.662 4.662 4.662
Si 3.108 3.108 3.108
Pt 1.554 1.554 1.554
```

Energy relative to the lowest polymorph listed for this composition: 0 meV per atom
Final energy: -7.953 eV/atom
Space-group type: No. 216



(28)
Compound: HfFeSiPt
Source: OQMD
Functional: PBE
Structure: optimized geometry

```
4
Lattice="0.000 3.150 3.150 3.150 0.000 3.150 3.150 3.150 0.000" Properties=species:S:1:pos:R:3 pbc="T T T"
Hf 0.000 0.000 0.000
Fe 3.150 3.150 3.150
Si 1.575 1.575 1.575
Pt 4.725 4.725 4.725
```

Energy relative to the lowest polymorph listed for this composition: 165 meV per atom
Final energy: -7.788 eV/atom
Space-group type: No. 216



(29)
Compound: HfTlFePt
Source: OQMD
Functional: PBE
Structure: optimized geometry

```
4
Lattice="0.000 3.274 3.274 3.274 0.000 3.274 3.274 3.274 0.000" Properties=species:S:1:pos:R:3 pbc="T T T"
Hf 0.000 0.000 0.000
Tl 1.637 1.637 1.637
Fe 3.274 3.274 3.274
Pt 4.911 4.911 4.911
```

Energy relative to the lowest polymorph listed for this composition: 181 meV per atom
Final energy: -6.675 eV/atom
Space-group type: No. 216